Mn2ReHg | PBE | relaxed

Cell lengths 5.278, 5.278, 5.278 Å; angles 147.15, 129.84, 61.26 degrees
Each line ends with the local moment (μB).
Element x y z (fractional)
1 Hg 0.249 0.749 0.500  -0.04
2 Mn 0.985 0.985 0.000  2.93
3 Mn 0.743 0.243 0.500  2.25
4 Re 0.524 0.524 0.000  -0.60


Mn3ReHg | PBE | relaxed

Calculated values
**Energy above the lowest structure with this stoichiometry**: 0.000 eV/f.u.

Cell lengths 4.698, 4.698, 4.698 Å; angles 90.00, 90.00, 90.00 degrees
Each line ends with the local moment (μB).
Element x y z (fractional)
1 Re 0.000 0.000 0.000  -0.66
2 Mn 0.000 0.500 0.000  3.29
3 Mn 0.000 0.000 0.500  3.10
4 Mn 0.500 0.000 0.000  3.38
5 Hg 0.500 0.500 0.500  0.01


MnReHg2 | PBE | relaxed

Calculated values
**Energy above the lowest structure with this stoichiometry**: 0.187 eV/f.u.

Cell lengths 9.841, 9.841, 9.841 Å; angles 17.25, 17.25, 17.25 degrees
Each line ends with the local moment (μB).
Element x y z (fractional)
1 Hg 0.008 0.008 0.008  -0.01
2 Hg 0.239 0.239 0.239  0.00
3 Mn 0.491 0.491 0.491  2.73
4 Re 0.762 0.762 0.762  -0.34


Number 1: ΔH_f (0 K) 0.517 eV/atom. Number 2: ΔH_f (0 K) 1.212 eV/atom. Number 3: ΔH_f (0 K) 0.437 eV/atom.